[1]
{"formula": "Rb3Ce2BiSe6", "functional": "PBE", "state": "relaxed", "cell": [[3.812, -6.601, 0.000], [3.812, 6.601, 0.000], [-2.539, 0.000, 7.992]], "species": ["Rb", "Rb", "Rb", "Ce", "Ce", "Bi", "Se", "Se", "Se", "Se", "Se", "Se"], "fractional_positions": [[0.000, 0.000, 0.000], [0.335, 0.665, 0.000], [0.665, 0.335, 0.000], [0.167, 0.833, 0.500], [0.833, 0.167, 0.500], [0.500, 0.500, 0.500], [0.100, 0.433, 0.299], [0.233, 0.233, 0.700], [0.433, 0.100, 0.299], [0.567, 0.900, 0.701], [0.767, 0.767, 0.300], [0.900, 0.567, 0.701]], "raw_formation_energy_mev_per_atom": -1375}

[2]
{"formula": "Rb3Ce3BiSe8", "functional": "PBE", "state": "relaxed", "cell": [[4.337, 2.504, 8.069], [-4.337, 2.504, 8.069], [0.000, -5.008, 8.069]], "species": ["Rb", "Rb", "Rb", "Ce", "Ce", "Ce", "Bi", "Se", "Se", "Se", "Se", "Se", "Se", "Se", "Se"], "fractional_positions": [[0.000, 0.500, 0.500], [0.500, 0.000, 0.500], [0.500, 0.500, 0.000], [0.000, 0.000, 0.500], [0.000, 0.500, 0.000], [0.500, 0.000, 0.000], [0.500, 0.500, 0.500], [0.228, 0.734, 0.734], [0.233, 0.233, 0.233], [0.266, 0.266, 0.772], [0.266, 0.772, 0.266], [0.734, 0.228, 0.734], [0.734, 0.734, 0.228], [0.767, 0.767, 0.767], [0.772, 0.266, 0.266]], "raw_formation_energy_mev_per_atom": -1461}

[3]
{"formula": "Rb2CeBi2Se6", "functional": "PBE", "state": "relaxed", "cell": [[3.704, -6.405, 0.000], [3.704, 6.405, 0.000], [-2.573, 0.000, 8.220]], "species": ["Rb", "Rb", "Ce", "Bi", "Bi", "Se", "Se", "Se", "Se", "Se", "Se"], "fractional_positions": [[0.170, 0.830, 0.000], [0.830, 0.170, 0.000], [0.000, 0.000, 0.500], [0.332, 0.668, 0.500], [0.668, 0.332, 0.500], [0.067, 0.394, 0.696], [0.255, 0.255, 0.306], [0.394, 0.067, 0.696], [0.606, 0.933, 0.304], [0.745, 0.745, 0.694], [0.933, 0.606, 0.304]], "raw_formation_energy_mev_per_atom": -1037}

[4]
{"formula": "Rb4Ce3BiTe8", "functional": "PBE", "state": "relaxed", "cell": [[4.691, 2.708, 8.527], [-4.691, 2.708, 8.527], [0.000, -5.416, 8.527]], "species": ["Rb", "Rb", "Rb", "Rb", "Ce", "Ce", "Ce", "Bi", "Te", "Te", "Te", "Te", "Te", "Te", "Te", "Te"], "fractional_positions": [[0.000, 0.000, 0.000], [0.000, 0.500, 0.500], [0.500, 0.000, 0.500], [0.500, 0.500, 0.000], [0.000, 0.000, 0.500], [0.000, 0.500, 0.000], [0.500, 0.000, 0.000], [0.500, 0.500, 0.500], [0.235, 0.235, 0.235], [0.236, 0.733, 0.733], [0.267, 0.267, 0.764], [0.267, 0.764, 0.267], [0.733, 0.236, 0.733], [0.733, 0.733, 0.236], [0.764, 0.267, 0.267], [0.765, 0.765, 0.765]], "raw_formation_energy_mev_per_atom": -1151}

[5]
{"formula": "Rb3Ce2BiTe6", "functional": "PBE", "state": "relaxed", "cell": [[4.062, -7.035, 0.000], [4.062, 7.035, 0.000], [-2.707, 0.000, 8.530]], "species": ["Rb", "Rb", "Rb", "Ce", "Ce", "Bi", "Te", "Te", "Te", "Te", "Te", "Te"], "fractional_positions": [[0.000, 0.000, 0.000], [0.334, 0.666, 0.000], [0.666, 0.334, 0.000], [0.167, 0.833, 0.500], [0.833, 0.167, 0.500], [0.500, 0.500, 0.500], [0.101, 0.432, 0.297], [0.237, 0.237, 0.703], [0.432, 0.101, 0.297], [0.568, 0.899, 0.703], [0.763, 0.763, 0.297], [0.899, 0.568, 0.703]], "raw_formation_energy_mev_per_atom": -1086}

[6]
{"formula": "CeReBi", "functional": "PBE", "state": "relaxed", "cell": [[3.256, 0.000, 0.000], [1.058, 5.139, 0.000], [0.471, 1.351, 9.493]], "species": ["Ce", "Ce", "Re", "Re", "Bi", "Bi"], "fractional_positions": [[0.241, 0.166, 0.343], [0.759, 0.834, 0.657], [0.254, 0.641, 0.400], [0.746, 0.359, 0.600], [0.232, 0.273, 0.857], [0.768, 0.727, 0.143]], "delta_e_f_ev_per_atom": 0.02}

no.,M_tot (μB per formula unit),V (Å³/cell)
1,2.00,402
2,2.01,526
3,0.00,390
4,1.01,650
5,2.00,487
6,0.00,159